(1)
First-principles (PBE-GGA) data for crystalline NaTa3Zn at its relaxed geometry, as listed in Alexandria.

The structure belongs to space group Pm-3m (No. 221); the cell edges are 4.656, 4.656 and 4.656 Å and the angles 90.00°, 90.00° and 90.00°. The distinct sites, in fractional coordinates, are Na at (0.000, 0.000, 0.000), Ta at (0.000, 0.000, 0.500) and Zn at (0.500, 0.500, 0.500).

As for the energy above the most stable polymorph in this dataset: 0.727 eV per atom. Its energy of formation from the pure elements is 2.31 eV per atom. As for the theoretical density: 10385 kg/m3. The total moment comes out at 0.00 μB/cell.

---

(2)
First-principles (PBE-GGA) data for crystalline Na3TaZn at its relaxed geometry, as listed in Alexandria.

The structure belongs to space group Pm-3m (No. 221); the cell edges are 5.354, 5.354 and 5.354 Å and the angles 90.00°, 90.00° and 90.00°. The distinct sites, in fractional coordinates, are Na at (0.000, 0.000, 0.500), Ta at (0.500, 0.500, 0.500) and Zn at (0.000, 0.000, 0.000).

As for the energy above the most stable polymorph in this dataset: 0.000 eV per atom. Its energy of formation from the pure elements is 1.32 eV per atom. As for the theoretical density: 3413 kg/m3. The total moment comes out at 3.94 μB/cell.

---

(3)
First-principles (PBE-GGA) data for crystalline Na3TaZn at its relaxed geometry, as listed in Alexandria.

The structure belongs to space group Pm-3m (No. 221); the cell edges are 6.091, 6.091 and 6.091 Å and the angles 90.00°, 90.00° and 90.00°. The distinct sites, in fractional coordinates, are Na at (0.000, 0.000, 0.500), Ta at (0.000, 0.000, 0.000) and Zn at (0.500, 0.500, 0.500).

As for the energy above the most stable polymorph in this dataset: 0.195 eV per atom. Its energy of formation from the pure elements is 1.52 eV per atom. As for the theoretical density: 2317 kg/m3. The total moment comes out at 5.88 μB/cell.

---

(4)
First-principles (PBE-GGA) data for crystalline NaZrTa3 at its relaxed geometry, as listed in Alexandria.

The structure belongs to space group Pm-3m (No. 221); the cell edges are 5.018, 5.018 and 5.018 Å and the angles 90.00°, 90.00° and 90.00°. The distinct sites, in fractional coordinates, are Na at (0.000, 0.000, 0.000), Zr at (0.500, 0.500, 0.500) and Ta at (0.000, 0.500, 0.500).

As for the energy above the most stable polymorph in this dataset: 0.000 eV per atom. Its energy of formation from the pure elements is 1.91 eV per atom. As for the theoretical density: 8637 kg/m3. The total moment comes out at 0.00 μB/cell.

---

(5)
First-principles (PBE-GGA) data for crystalline NaZr3Ta at its relaxed geometry, as listed in Alexandria.

The structure belongs to space group Pm-3m (No. 221); the cell edges are 5.244, 5.244 and 5.244 Å and the angles 90.00°, 90.00° and 90.00°. The distinct sites, in fractional coordinates, are Na at (0.000, 0.000, 0.000), Zr at (0.000, 0.500, 0.500) and Ta at (0.500, 0.500, 0.500).

As for the energy above the most stable polymorph in this dataset: 0.000 eV per atom. Its energy of formation from the pure elements is 0.93 eV per atom. As for the theoretical density: 5499 kg/m3. The total moment comes out at 0.00 μB/cell.

---

(6)
First-principles (PBE-GGA) data for crystalline NaZrTa2 at its relaxed geometry, as listed in Alexandria.

The structure belongs to space group I-42d (No. 122); the cell edges are 4.039, 4.039 and 20.680 Å and the angles 90.00°, 90.00° and 90.00°. The distinct sites, in fractional coordinates, are Na at (0.000, 0.000, 0.000), Zr at (0.000, 0.000, 0.500) and Ta at (0.237, 0.250, 0.625).

As for the energy above the most stable polymorph in this dataset: 0.080 eV per atom. Its energy of formation from the pure elements is 1.01 eV per atom. As for the theoretical density: 9372 kg/m3. The total moment comes out at 0.00 μB/cell.

---

Question: Among the records above, which one has the highest total moment?
Answer: number 3

---

Question: What is the total moment in the sixth record?
Answer: 0.00 μB/cell